Density functional theory data (PBEsol) for SbMoAu after structural relaxation.

The value obtained for the raw formation energy is 0.820 eV per atom. The calculation puts the volume at 22.0 Å³/atom. As for the density of states at the Fermi level: 7.1 states/eV per cell. The crystal system is cubic.

The structure belongs to space group F-43m (No. 216); the cell edges are 6.4167, 6.4167 and 6.4167 Å and the angles 90.00°, 90.00° and 90.00°. Symmetry generates all atoms from Sb at (0.0000, 0.0000, 0.0000), Mo at (0.0000, 0.0000, 0.5000) and Au at (0.2500, 0.2500, 0.2500).